DFT (PBE-GGA) results for an optimized crystal structure of CaZr2Fe.

Structure (CIF):
```
data_CaZr2Fe
_chemical_formula_sum 'Ca1 Zr2 Fe1'
_space_group_name_H-M_alt 'P 1'
_space_group_IT_number 1
_cell_length_a 4.835
_cell_length_b 4.835
_cell_length_c 4.835
_cell_angle_alpha 60.00
_cell_angle_beta 60.00
_cell_angle_gamma 60.00
loop_
_space_group_symop_operation_xyz
'x,y,z'
loop_
_atom_site_label
_atom_site_type_symbol
_atom_site_fract_x
_atom_site_fract_y
_atom_site_fract_z
_atom_site_occupancy
Zr1 Zr 0.750 0.750 0.750 1
Fe1 Fe 0.500 0.500 0.500 1
Ca1 Ca 0.000 0.000 0.000 1
Zr2 Zr 0.250 0.250 0.250 1
```

Computed properties:
E_tot = -6.423 eV/atom
DOS(E_F) = 1.102 states/eV/atom
space-group type = No. 225